Entry 1:
A relaxed structure of Ca2ScF8, computed with PBE.

Output
* DOS(E_F): 0.7056 states/eV per atom
* formation energy without anion corrections: -3.458 eV per atom
* calculated total energy: -5.759 eV/atom
* V: 320 Å³/cell

Lattice parameters (Å, degrees): 12.072 3.824 7.015 90.00 98.62 90.00
Space group C2/m (No. 12)
Unique sites:
Ca  0.244  0.000  0.234 [4 per cell]
Sc  0.000  0.000  0.500 [2 per cell]
F  0.053  0.000  0.238 [4 per cell]
F  0.062  0.500  0.647 [4 per cell]
F  0.182  0.000  0.566 [4 per cell]
F  0.192  0.500  0.068 [4 per cell]

---

Entry 2:
A relaxed structure of CaScF6, computed with PBE.

Output
* DOS(E_F): 1.0358 states/eV per atom
* formation energy without anion corrections: -3.371 eV per atom
* calculated total energy: -5.816 eV/atom
* V: 477 Å³/cell

Lattice parameters (Å, degrees): 6.0719 6.0719 14.9296 90.00 90.00 120.00
Space group R-3m (No. 166, hexagonal axes)
Unique sites:
Ca  0.0000  0.0000  0.0000 [3 per cell]
Sc  0.0000  0.0000  0.5000 [3 per cell]
F  0.0184  0.5092  0.2452 [18 per cell]

---

Entry 3:
A relaxed structure of Ca3ScF, computed with PBE.

Output
* DOS(E_F): 1.0762 states/eV per atom
* formation energy without anion corrections: 0.349 eV per atom
* calculated total energy: -2.492 eV/atom
* V: 223 Å³/cell
* ΔE to the lowest computed polymorph: 6.136 eV/f.u.

Lattice parameters (Å, degrees): 6.063 6.063 6.063 90.00 90.00 90.00
Space group Pm-3m (No. 221)
Unique sites:
Ca  0.000  0.000  0.500 [3 per cell]
Sc  0.000  0.000  0.000 [1 per cell]
F  0.500  0.500  0.500 [1 per cell]

---

Entry 4:
A relaxed structure of Ca3ScF, computed with PBE.

Output
* DOS(E_F): 1.6788 states/eV per atom
* formation energy without anion corrections: -0.878 eV per atom
* calculated total energy: -3.720 eV/atom
* V: 140 Å³/cell
* ΔE to the lowest computed polymorph: 0.000 eV/f.u.

Lattice parameters (Å, degrees): 5.192 5.192 5.192 90.00 90.00 90.00
Space group Pm-3m (No. 221)
Unique sites:
Ca  0.000  0.000  0.500 [3 per cell]
Sc  0.500  0.500  0.500 [1 per cell]
F  0.000  0.000  0.000 [1 per cell]

---

Entry 5:
A relaxed structure of CaScF2, computed with PBE.

Output
* DOS(E_F): 0.9927 states/eV per atom
* formation energy without anion corrections: -2.666 eV per atom
* calculated total energy: -5.685 eV/atom
* V: 223 Å³/cell
* ΔE to the lowest computed polymorph: 0.000 eV/f.u.

Lattice parameters (Å, degrees): 3.8268 3.8268 17.5441 90.00 90.00 120.00
Space group R-3m (No. 166, hexagonal axes)
Unique sites:
Ca  0.0000  0.0000  0.0000 [3 per cell]
Sc  0.0000  0.0000  0.5000 [3 per cell]
F  0.0000  0.0000  0.3798 [6 per cell]

---

Entry 6:
A relaxed structure of CaScTlF6, computed with PBE.

Output
* DOS(E_F): 0.0000 states/eV per atom
* formation energy without anion corrections: -3.457 eV per atom
* calculated total energy: -5.893 eV/atom
* V: 696 Å³/cell

Lattice parameters (Å, degrees): 7.850 7.957 11.141 90.00 90.00 90.00
Space group Imma (No. 74)
Unique sites:
Ca  0.250  0.250  0.250 [4 per cell]
Sc  0.000  0.000  0.000 [4 per cell]
Tl  0.000  0.250  0.579 [4 per cell]
F  0.000  0.250  0.353 [4 per cell]
F  0.000  0.250  0.958 [4 per cell]
F  0.185  0.040  0.122 [16 per cell]

---

Number 1: magnetization 2.1 μB/cell. Number 2: magnetization 3.2 μB/cell. Number 3: magnetization 4.1 μB/cell. Number 4: magnetization 1.4 μB/cell. Number 5: magnetization 0.0 μB/cell. Number 6: magnetization 0.0 μB/cell.